1.
# AsPRhAuS

AsPRhAuS after structural relaxation (PBE-GGA, Alexandria via LeMat-Bulk).

Cell lengths 7.3425, 3.8621, 6.9872 Å; angles 90.00, 108.61, 90.00 degrees
Last column: nearest neighbours and their distance in Å.
Space group Cm (No. 8)
Inequivalent atoms, fractional coordinates:
As  0.0000  0.0000  0.0000 (multiplicity 2)  3 Rh 2.68-2.72, 3 Au 2.70-2.95, 2 P 2.87
P  0.2293  0.5000  0.2776 (multiplicity 2)  1 S 2.12, 2 Rh 2.35
Rh  0.3767  0.0000  0.2043 (multiplicity 2)  3 P 2.35-2.47, 1 S 2.47
Au  0.2761  0.0000  0.7725 (multiplicity 2)  2 S 2.55, 2 As 2.70
S  0.1343  0.5000  0.5339 (multiplicity 2)  1 P 2.12

**Energy**: -5.097 eV/atom
**Magnetization**: 0.0 μB per cell
**E_form (uncorrected)**: -0.13 eV/atom
**Energy relative to the lowest polymorph listed for this composition**: 3 meV/atom


2.
# AsPRhAuS

AsPRhAuS after structural relaxation (PBE-GGA, Alexandria via LeMat-Bulk).

Cell lengths 6.7233, 3.5528, 7.9168 Å; angles 90.00, 102.83, 90.00 degrees
Last column: nearest neighbours and their distance in Å.
Space group Cm (No. 8)
Inequivalent atoms, fractional coordinates:
As  0.0000  0.0000  0.0000 (multiplicity 2)  1 P 2.32, 2 Au 2.52
P  0.2249  0.5000  0.7628 (multiplicity 2)  1 As 2.32, 3 Rh 2.34-2.43
Rh  0.3617  0.0000  0.6341 (multiplicity 2)  3 P 2.34-2.43, 1 S 2.41
Au  0.4801  0.0000  0.2210 (multiplicity 2)  2 As 2.52, 2 S 2.54
S  0.0212  0.0000  0.4562 (multiplicity 2)  3 Rh 2.41-2.64, 2 Au 2.54

**Energy**: -5.074 eV/atom
**Magnetization**: 0.0 μB per cell
**E_form (uncorrected)**: -0.11 eV/atom
**Energy relative to the lowest polymorph listed for this composition**: 26 meV/atom


What is the E_form (uncorrected) in the first record? -0.13 eV/atom


Number 2 is which compound? AsPRhAuS